{
  "formula": "La2BeGa4Pd3",
  "functional": "GGA-PBE",
  "state": "relaxed",
  "formation_enthalpy_0k_ev_per_fu": -6.8,
  "e_tot_ev_per_atom": -4.809,
  "lattice": [[4.336, 0.000, 0.000], [0.000, 4.336, 0.000], [0.000, 0.000, 10.372]],
  "species": ["La", "La", "Be", "Ga", "Ga", "Ga", "Ga", "Pd", "Pd", "Pd"],
  "fractional_positions": [[0.000, 0.500, 0.244], [0.500, 0.000, 0.756], [0.500, 0.500, 0.000], [0.000, 0.000, 0.500], [0.000, 0.500, 0.878], [0.500, 0.000, 0.122], [0.500, 0.500, 0.500], [0.000, 0.000, 0.000], [0.000, 0.500, 0.633], [0.500, 0.000, 0.367]]
}

---

{
  "formula": "AcGa3Ni",
  "functional": "GGA-PBE",
  "state": "relaxed",
  "relative_energy_ev_per_fu": 0.97,
  "formation_enthalpy_0k_ev_per_fu": -1.9,
  "e_tot_ev_per_atom": -4.171,
  "lattice": [[4.741, 0.000, 0.000], [0.000, 4.741, 0.000], [0.000, 0.000, 4.741]],
  "species": ["Ac", "Ga", "Ga", "Ga", "Ni"],
  "fractional_positions": [[0.000, 0.000, 0.000], [0.000, 0.500, 0.500], [0.500, 0.000, 0.500], [0.500, 0.500, 0.000], [0.500, 0.500, 0.500]]
}

---

{
  "formula": "Y5Ni2Sn",
  "functional": "GGA-PBE",
  "state": "relaxed",
  "formation_enthalpy_0k_ev_per_fu": -3.7,
  "e_tot_ev_per_atom": -6.444,
  "lattice": [[-3.855, 3.855, 6.685], [3.855, -3.855, 6.685], [3.855, 3.855, -6.685]],
  "species": ["Y", "Y", "Y", "Y", "Y", "Y", "Y", "Y", "Y", "Y", "Ni", "Ni", "Ni", "Ni", "Sn", "Sn"],
  "fractional_positions": [[0.000, 0.000, 0.000], [0.022, 0.522, 0.818], [0.204, 0.022, 0.500], [0.296, 0.796, 0.818], [0.478, 0.296, 0.500], [0.500, 0.500, 0.000], [0.522, 0.704, 0.500], [0.704, 0.204, 0.182], [0.796, 0.978, 0.500], [0.978, 0.478, 0.182], [0.127, 0.373, 0.500], [0.373, 0.873, 0.245], [0.627, 0.127, 0.755], [0.873, 0.627, 0.500], [0.250, 0.250, 0.000], [0.750, 0.750, 0.000]]
}

---

{
  "formula": "Nd6GeTe3S2",
  "functional": "GGA-PBE",
  "state": "relaxed",
  "raw_formation_energy_ev_per_atom": -1.585,
  "e_tot_ev_per_atom": -5.827,
  "lattice": [[3.690, -6.388, 0.000], [3.690, 6.388, 0.000], [-2.456, 0.000, 7.317]],
  "species": ["Nd", "Nd", "Nd", "Nd", "Nd", "Nd", "Ge", "Te", "Te", "Te", "S", "S"],
  "fractional_positions": [[0.093, 0.428, 0.785], [0.235, 0.235, 0.213], [0.428, 0.093, 0.785], [0.572, 0.907, 0.215], [0.765, 0.765, 0.787], [0.907, 0.572, 0.215], [0.500, 0.500, 0.000], [0.000, 0.000, 0.500], [0.335, 0.665, 0.500], [0.665, 0.335, 0.500], [0.167, 0.833, 0.000], [0.833, 0.167, 0.000]]
}

---

{
  "formula": "Ni3Mo",
  "functional": "GGA-PBE",
  "state": "relaxed",
  "formation_enthalpy_0k_ev_per_fu": 0.2,
  "e_tot_ev_per_atom": -7.001,
  "lattice": [[-1.311, 4.172, 2.215], [1.311, -4.172, 2.215], [1.311, 4.172, -2.215]],
  "species": ["Ni", "Ni", "Ni", "Mo"],
  "fractional_positions": [[0.000, 0.000, 0.000], [0.091, 0.346, 0.745], [0.601, 0.346, 0.255], [0.494, 0.994, 0.500]]
}

---

{
  "formula": "LaNdDy6",
  "functional": "GGA-PBE",
  "state": "relaxed",
  "relative_energy_ev_per_fu": 0.00,
  "formation_enthalpy_0k_ev_per_fu": 0.2,
  "e_tot_ev_per_atom": -4.638,
  "lattice": [[5.073, 0.000, 0.000], [0.000, 5.073, 0.000], [0.000, 0.000, 10.151]],
  "species": ["La", "Nd", "Dy", "Dy", "Dy", "Dy", "Dy", "Dy"],
  "fractional_positions": [[0.000, 0.000, 0.000], [0.000, 0.000, 0.500], [0.000, 0.500, 0.252], [0.000, 0.500, 0.748], [0.500, 0.000, 0.252], [0.500, 0.000, 0.748], [0.500, 0.500, 0.000], [0.500, 0.500, 0.500]]
}

---

{
  "formula": "Zr3Fe2",
  "functional": "GGA-PBE",
  "state": "relaxed",
  "formation_enthalpy_0k_ev_per_fu": -0.3,
  "e_tot_ev_per_atom": -8.580,
  "lattice": [[4.399, 0.000, 0.000], [-2.200, 3.810, 0.000], [0.000, 0.000, 5.496]],
  "species": ["Zr", "Zr", "Zr", "Fe", "Fe"],
  "fractional_positions": [[0.000, 0.000, 0.000], [0.333, 0.667, 0.340], [0.667, 0.333, 0.660], [0.333, 0.667, 0.839], [0.667, 0.333, 0.161]]
}

---

{
  "formula": "TaV2Ir2",
  "functional": "GGA-PBE",
  "state": "relaxed",
  "relative_energy_ev_per_fu": 0.15,
  "formation_enthalpy_0k_ev_per_fu": -1.5,
  "e_tot_ev_per_atom": -9.872,
  "lattice": [[7.331, 0.000, 0.000], [0.000, 7.331, 0.000], [0.000, 0.000, 2.803]],
  "species": ["Ta", "Ta", "V", "V", "V", "V", "Ir", "Ir", "Ir", "Ir"],
  "fractional_positions": [[0.000, 0.000, 0.000], [0.500, 0.500, 0.000], [0.152, 0.348, 0.000], [0.348, 0.848, 0.000], [0.652, 0.152, 0.000], [0.848, 0.652, 0.000], [0.147, 0.647, 0.500], [0.353, 0.147, 0.500], [0.647, 0.853, 0.500], [0.853, 0.353, 0.500]]
}

---

{
  "formula": "MnAsOs2",
  "functional": "GGA-PBE",
  "state": "relaxed",
  "formation_enthalpy_0k_ev_per_fu": 1.7,
  "e_tot_ev_per_atom": -8.642,
  "lattice": [[2.852, 0.000, 0.000], [0.000, 4.448, 0.000], [0.000, 0.000, 4.557]],
  "species": ["Mn", "As", "Os", "Os"],
  "fractional_positions": [[0.000, 0.000, 0.000], [0.500, 0.000, 0.500], [0.000, 0.500, 0.500], [0.500, 0.500, 0.000]]
}

---

{
  "formula": "KNiAg2",
  "functional": "GGA-PBE",
  "state": "relaxed",
  "relative_energy_ev_per_fu": 0.26,
  "formation_enthalpy_0k_ev_per_fu": 1.5,
  "e_tot_ev_per_atom": -2.762,
  "lattice": [[4.633, -1.455, 0.000], [4.633, 1.455, 0.000], [-0.740, 0.000, 6.833]],
  "species": ["K", "Ni", "Ag", "Ag"],
  "fractional_positions": [[0.000, 0.000, 0.000], [0.760, 0.760, 0.345], [0.233, 0.233, 0.658], [0.493, 0.493, 0.455]]
}

---

{
  "formula": "TaRuCl",
  "functional": "GGA-PBE",
  "state": "relaxed",
  "relative_energy_ev_per_fu": 0.08,
  "raw_formation_energy_ev_per_atom": -0.502,
  "e_tot_ev_per_atom": -8.161,
  "lattice": [[-1.566, 1.566, 12.146], [1.566, -1.566, 12.146], [1.566, 1.566, -12.146]],
  "species": ["Ta", "Ta", "Ru", "Ru", "Cl", "Cl"],
  "fractional_positions": [[0.153, 0.153, 0.000], [0.847, 0.847, 0.000], [0.290, 0.290, 0.000], [0.710, 0.710, 0.000], [0.572, 0.072, 0.500], [0.928, 0.428, 0.500]]
}

---

{
  "formula": "KTiRhS3",
  "functional": "GGA-PBE",
  "state": "relaxed",
  "raw_formation_energy_ev_per_atom": -1.064,
  "e_tot_ev_per_atom": -5.852,
  "lattice": [[8.291, 0.000, 0.000], [0.000, 3.576, 0.000], [-3.346, 0.000, 8.652]],
  "species": ["K", "K", "Ti", "Ti", "Rh", "Rh", "S", "S", "S", "S", "S", "S"],
  "fractional_positions": [[0.224, 0.250, 0.249], [0.776, 0.750, 0.751], [0.320, 0.750, 0.841], [0.680, 0.250, 0.159], [0.100, 0.250, 0.600], [0.900, 0.750, 0.400], [0.127, 0.250, 0.864], [0.254, 0.750, 0.565], [0.461, 0.750, 0.133], [0.539, 0.250, 0.867], [0.746, 0.250, 0.435], [0.873, 0.750, 0.136]]
}

---

{
  "formula": "Nd3YMg6",
  "functional": "GGA-PBE",
  "state": "relaxed",
  "formation_enthalpy_0k_ev_per_fu": -0.8,
  "e_tot_ev_per_atom": -3.118,
  "lattice": [[9.460, 0.000, 0.000], [0.000, 5.332, 0.000], [-2.996, 0.000, 11.003]],
  "species": ["Nd", "Nd", "Nd", "Nd", "Nd", "Nd", "Y", "Y", "Mg", "Mg", "Mg", "Mg", "Mg", "Mg", "Mg", "Mg", "Mg", "Mg", "Mg", "Mg"],
  "fractional_positions": [[0.035, 0.250, 0.396], [0.149, 0.750, 0.208], [0.255, 0.250, 0.007], [0.745, 0.750, 0.993], [0.851, 0.250, 0.792], [0.965, 0.750, 0.604], [0.449, 0.250, 0.603], [0.551, 0.750, 0.397], [0.063, 0.750, 0.901], [0.168, 0.250, 0.709], [0.265, 0.750, 0.512], [0.356, 0.750, 0.807], [0.362, 0.250, 0.307], [0.455, 0.750, 0.102], [0.545, 0.250, 0.898], [0.638, 0.750, 0.693], [0.644, 0.250, 0.193], [0.735, 0.250, 0.488], [0.832, 0.750, 0.291], [0.937, 0.250, 0.099]]
}

---

{
  "formula": "RbCd4Hg",
  "functional": "GGA-PBE",
  "state": "relaxed",
  "relative_energy_ev_per_fu": 0.00,
  "formation_enthalpy_0k_ev_per_fu": -0.1,
  "e_tot_ev_per_atom": -0.842,
  "lattice": [[2.444, -9.103, 0.000], [2.444, 9.103, 0.000], [0.000, 0.000, 7.919]],
  "species": ["Rb", "Rb", "Cd", "Cd", "Cd", "Cd", "Cd", "Cd", "Cd", "Cd", "Hg", "Hg"],
  "fractional_positions": [[0.121, 0.879, 0.750], [0.879, 0.121, 0.250], [0.072, 0.928, 0.250], [0.331, 0.669, 0.562], [0.331, 0.669, 0.938], [0.500, 0.500, 0.000], [0.500, 0.500, 0.500], [0.669, 0.331, 0.062], [0.669, 0.331, 0.438], [0.928, 0.072, 0.750], [0.239, 0.761, 0.250], [0.761, 0.239, 0.750]]
}

---

{
  "formula": "MnTeC3",
  "functional": "GGA-PBE",
  "state": "relaxed",
  "relative_energy_ev_per_fu": 0.00,
  "raw_formation_energy_ev_per_atom": 1.980,
  "e_tot_ev_per_atom": -6.016,
  "lattice": [[3.918, 0.000, 0.000], [0.000, 3.918, 0.000], [0.000, 0.000, 3.918]],
  "species": ["Mn", "Te", "C", "C", "C"],
  "fractional_positions": [[0.000, 0.000, 0.000], [0.500, 0.500, 0.500], [0.000, 0.000, 0.500], [0.000, 0.500, 0.000], [0.500, 0.000, 0.000]]
}

---

{
  "formula": "Y8AsP3S4",
  "functional": "GGA-PBE",
  "state": "relaxed",
  "raw_formation_energy_ev_per_atom": -1.861,
  "e_tot_ev_per_atom": -7.429,
  "lattice": [[3.987, 2.302, 6.509], [-3.987, 2.302, 6.509], [0.000, -4.604, 6.509]],
  "species": ["Y", "Y", "Y", "Y", "Y", "Y", "Y", "Y", "As", "P", "P", "P", "S", "S", "S", "S"],
  "fractional_positions": [[0.243, 0.751, 0.751], [0.247, 0.247, 0.247], [0.249, 0.249, 0.757], [0.249, 0.757, 0.249], [0.751, 0.243, 0.751], [0.751, 0.751, 0.243], [0.753, 0.753, 0.753], [0.757, 0.249, 0.249], [0.500, 0.500, 0.500], [0.000, 0.000, 0.500], [0.000, 0.500, 0.000], [0.500, 0.000, 0.000], [0.000, 0.000, 0.000], [0.000, 0.500, 0.500], [0.500, 0.000, 0.500], [0.500, 0.500, 0.000]]
}

---

{
  "formula": "CdGeCl4",
  "functional": "GGA-PBE",
  "state": "relaxed",
  "relative_energy_ev_per_fu": 0.11,
  "raw_formation_energy_ev_per_atom": -0.903,
  "e_tot_ev_per_atom": -3.056,
  "lattice": [[3.871, -8.175, 0.000], [3.871, 8.175, 0.000], [-3.801, 0.000, 5.397]],
  "species": ["Cd", "Cd", "Ge", "Ge", "Cl", "Cl", "Cl", "Cl", "Cl", "Cl", "Cl", "Cl"],
  "fractional_positions": [[0.077, 0.923, 0.750], [0.923, 0.077, 0.250], [0.418, 0.582, 0.250], [0.582, 0.418, 0.750], [0.091, 0.447, 0.270], [0.176, 0.280, 0.745], [0.280, 0.176, 0.245], [0.447, 0.091, 0.770], [0.553, 0.909, 0.230], [0.720, 0.824, 0.755], [0.824, 0.720, 0.255], [0.909, 0.553, 0.730]]
}

---

{
  "formula": "LiPr2ThS4",
  "functional": "GGA-PBE",
  "state": "relaxed",
  "raw_formation_energy_ev_per_atom": -1.851,
  "e_tot_ev_per_atom": -6.276,
  "lattice": [[6.961, 0.000, 0.000], [0.000, 4.037, 0.000], [-2.287, 0.000, 6.595]],
  "species": ["Li", "Pr", "Pr", "Th", "S", "S", "S", "S"],
  "fractional_positions": [[0.000, 0.000, 0.000], [0.000, 0.500, 0.500], [0.500, 0.000, 0.500], [0.500, 0.500, 0.000], [0.241, 0.500, 0.235], [0.244, 0.000, 0.764], [0.756, 0.000, 0.236], [0.759, 0.500, 0.765]]
}

---

{
  "formula": "LiZnSi2",
  "functional": "GGA-PBE",
  "state": "relaxed",
  "raw_formation_energy_ev_per_atom": 0.031,
  "e_tot_ev_per_atom": -3.477,
  "lattice": [[2.645, 0.000, 0.000], [0.000, 4.290, 0.000], [0.000, 0.000, 5.290]],
  "species": ["Li", "Zn", "Si", "Si"],
  "fractional_positions": [[0.000, 0.000, 0.000], [0.500, 0.000, 0.500], [0.500, 0.500, 0.237], [0.500, 0.500, 0.763]]
}

---

{
  "formula": "LiTeOs",
  "functional": "GGA-PBE",
  "state": "relaxed",
  "relative_energy_ev_per_fu": 0.28,
  "raw_formation_energy_ev_per_atom": 0.306,
  "e_tot_ev_per_atom": -5.122,
  "lattice": [[4.419, 0.000, 0.000], [-2.210, 3.827, 0.000], [0.000, 0.000, 3.237]],
  "species": ["Li", "Te", "Os"],
  "fractional_positions": [[0.000, 0.000, 0.000], [0.667, 0.333, 0.500], [0.333, 0.667, 0.500]]
}

---

{
  "formula": "ZrP2IO",
  "functional": "GGA-PBE",
  "state": "relaxed",
  "relative_energy_ev_per_fu": 0.00,
  "raw_formation_energy_ev_per_atom": -0.357,
  "e_tot_ev_per_atom": -5.532,
  "lattice": [[5.288, 0.000, 0.000], [0.000, 5.288, 0.000], [0.000, 0.000, 4.027]],
  "species": ["Zr", "P", "P", "I", "O"],
  "fractional_positions": [[0.000, 0.000, 0.000], [0.000, 0.500, 0.000], [0.500, 0.000, 0.000], [0.500, 0.500, 0.500], [0.000, 0.000, 0.500]]
}

---

{
  "formula": "POsBr2",
  "functional": "GGA-PBE",
  "state": "relaxed",
  "relative_energy_ev_per_fu": 0.96,
  "raw_formation_energy_ev_per_atom": 0.177,
  "e_tot_ev_per_atom": -4.820,
  "lattice": [[2.943, 0.000, 0.000], [0.000, 3.437, 0.000], [0.000, 0.000, 9.047]],
  "species": ["P", "Os", "Br", "Br"],
  "fractional_positions": [[0.000, 0.000, 0.000], [0.500, 0.500, 0.911], [0.000, 0.000, 0.257], [0.500, 0.500, 0.639]]
}

---

{
  "formula": "NdS2",
  "functional": "GGA-PBE",
  "state": "relaxed",
  "raw_formation_energy_ev_per_atom": -1.743,
  "e_tot_ev_per_atom": -6.084,
  "lattice": [[8.146, 0.000, 0.000], [0.000, 4.049, 0.000], [-0.018, 0.000, 8.067]],
  "species": ["Nd", "Nd", "Nd", "Nd", "S", "S", "S", "S", "S", "S", "S", "S"],
  "fractional_positions": [[0.224, 0.211, 0.371], [0.224, 0.289, 0.871], [0.776, 0.711, 0.129], [0.776, 0.789, 0.629], [0.133, 0.739, 0.126], [0.133, 0.761, 0.626], [0.497, 0.656, 0.392], [0.497, 0.844, 0.892], [0.503, 0.156, 0.108], [0.503, 0.344, 0.608], [0.867, 0.239, 0.374], [0.867, 0.261, 0.874]]
}